Record 1
# Tb8PmSb6, optimized geometry, DFT PBE-GGA
# - E_tot (eV/f.u.) = -78.25
# - formation energy (no corrections) (kJ per mole of atoms) = -75.4
# - crystal system = trigonal
# - space-group type = R-3
data_Tb8PmSb6
_chemical_formula_sum 'Tb8 Pm1 Sb6'
_space_group_name_H-M_alt 'P 1'
_space_group_IT_number 1
_space_group_name_Hall 'P 1'
_cell_length_a 9.518
_cell_length_b 9.518
_cell_length_c 9.518
_cell_angle_alpha 50.22
_cell_angle_beta 50.22
_cell_angle_gamma 50.22
loop_
_atom_site_label
_atom_site_fract_x
_atom_site_fract_y
_atom_site_fract_z
_atom_site_occupancy
Tb1 0.049 0.708 0.377 1
Tb2 0.167 0.167 0.167 1
Tb3 0.292 0.623 0.951 1
Tb4 0.377 0.049 0.708 1
Tb5 0.623 0.951 0.292 1
Tb6 0.708 0.377 0.049 1
Tb7 0.833 0.833 0.833 1
Tb8 0.951 0.292 0.623 1
Pm1 0.500 0.500 0.500 1
Sb1 0.093 0.433 0.769 1
Sb2 0.231 0.907 0.567 1
Sb3 0.433 0.769 0.093 1
Sb4 0.567 0.231 0.907 1
Sb5 0.769 0.093 0.433 1
Sb6 0.907 0.567 0.231 1

Record 2
# LaRu2AuBr, optimized geometry, DFT PBE-GGA
# - E_tot (eV/f.u.) = -21.49
# - formation energy (no corrections) (kJ per mole of atoms) = 133.9
# - crystal system = tetragonal
# - space-group type = P4/mmm
data_LaRu2AuBr
_chemical_formula_sum 'La1 Ru2 Au1 Br1'
_space_group_name_H-M_alt 'P 1'
_space_group_IT_number 1
_space_group_name_Hall 'P 1'
_cell_length_a 5.005
_cell_length_b 5.005
_cell_length_c 5.635
_cell_angle_alpha 90.00
_cell_angle_beta 90.00
_cell_angle_gamma 90.00
loop_
_atom_site_label
_atom_site_fract_x
_atom_site_fract_y
_atom_site_fract_z
_atom_site_occupancy
La1 0.000 0.000 0.000 1
Ru1 0.000 0.500 0.000 1
Ru2 0.500 0.000 0.000 1
Au1 0.000 0.000 0.500 1
Br1 0.500 0.500 0.500 1

Which of these has the highest E_tot? LaRu2AuBr